Here is TaAsPtBr2 after structural relaxation from the Alexandria database. Energies are from GGA-PBEsol.

POSCAR file:
```
TaAsPtBr2
1.0
4.846 0.000 0.000
0.000 4.846 0.000
0.000 0.000 5.150
Br As Ta Pt
2 1 1 1
direct
0.500 0.000 0.000 Br
0.000 0.500 0.000 Br
0.000 0.000 0.500 As
0.000 0.000 0.000 Ta
0.500 0.500 0.500 Pt
```

Calculated values
Raw total energy = -24.570 eV per formula unit
Density of states at the Fermi level = 7.09 states/eV/f.u.
Space-group type = No. 123
Magnetic moment = 0.2 μB/f.u.